Record 1
YbGdTe2: optimized geometry, GGA-PBE.

Geometry as POSCAR:
```
YbGdTe2
1.0
2.2071 1.2743 7.2787
-2.2071 1.2743 7.2787
0.0000 -2.5486 7.2787
Yb Gd Te
1 1 2
direct
0.0000 0.0000 0.0000
0.5000 0.5000 0.5000
0.2505 0.2505 0.2505
0.7495 0.7495 0.7495
```

---

Record 2
GdZnTe2: optimized geometry, GGA-PBE.

Geometry as POSCAR:
```
GdZnTe2
1.0
2.2397 1.2931 8.7583
-2.2397 1.2931 8.7583
0.0000 -2.5861 8.7583
Gd Zn Te
1 1 2
direct
0.0000 0.0000 0.0000
0.5000 0.5000 0.5000
0.3993 0.3993 0.3993
0.6007 0.6007 0.6007
```

---

Record 3
Gd2ZnTe: optimized geometry, GGA-PBE.

Geometry as POSCAR:
```
Gd2ZnTe
1.0
3.8182 0.0000 0.0000
0.0000 3.8182 0.0000
0.0000 0.0000 7.0641
Gd Zn Te
2 1 1
direct
0.0000 0.0000 0.2423
0.0000 0.0000 0.7577
0.5000 0.5000 0.0000
0.5000 0.5000 0.5000
```

---

Record 4
Gd2ZnTe: optimized geometry, GGA-PBE.

Geometry as POSCAR:
```
Gd2ZnTe
1.0
2.0776 1.1995 7.5717
-2.0776 1.1995 7.5717
0.0000 -2.3990 7.5717
Gd Zn Te
2 1 1
direct
0.2463 0.2463 0.2463
0.7537 0.7537 0.7537
0.5000 0.5000 0.5000
0.0000 0.0000 0.0000
```

---

Values for E_form (uncorrected), eV per atom, ordered as above
-1.5004; -0.6945; -0.7441; -0.7726